Below is EuThAl after structural relaxation, with properties calculated at the PBE-GGA level.

It has space group P3m1 (No. 156), with a = 5.2101 Å, b = 5.2101 Å, c = 3.5579 Å, α = 90.00°, β = 90.00° and γ = 120.00°. The inequivalent atoms are Eu at (0.0000, 0.0000, 0.0000), Th at (0.3333, 0.6667, 0.6037) and Al at (0.6667, 0.3333, 0.2935).

The energy above the most stable polymorph in this dataset comes out at 0.108 eV per atom.

=====

Below is AlCoI3 after structural relaxation, with properties calculated at the PBE-GGA level.

It has space group Pm-3m (No. 221), with a = 5.594 Å, b = 5.594 Å, c = 5.594 Å, α = 90.00°, β = 90.00° and γ = 90.00°. The inequivalent atoms are Al at (0.000, 0.000, 0.000), Co at (0.500, 0.500, 0.500) and I at (0.000, 0.000, 0.500).

The energy above the most stable polymorph in this dataset comes out at 0.327 eV per atom. As for the formation energy from raw total energies: 271 kJ/mol of formula units.

=====

Below is RbTl2Cl after structural relaxation, with properties calculated at the PBE-GGA level.

It has space group Fm-3m (No. 225), with a = 8.364 Å, b = 8.364 Å, c = 8.364 Å, α = 90.00°, β = 90.00° and γ = 90.00°. The inequivalent atoms are Rb at (0.000, 0.000, 0.000), Tl at (0.250, 0.250, 0.250) and Cl at (0.000, 0.000, 0.500).

The energy above the most stable polymorph in this dataset comes out at 0.461 eV per atom. As for the formation energy from raw total energies: -91 kJ/mol of formula units.

=====

Below is Np2TiAs3 after structural relaxation, with properties calculated at the PBE-GGA level.

It has space group I4/mmm (No. 139), with a = 4.006 Å, b = 4.006 Å, c = 16.652 Å, α = 90.00°, β = 90.00° and γ = 90.00°. The inequivalent atoms are Np at (0.000, 0.000, 0.166), Ti at (0.000, 0.000, 0.500), As at (0.000, 0.000, 0.000) and As at (0.000, 0.000, 0.342).

The total energy comes out at -103.407 eV for the cell shown.

=====

Below is VPtI6 after structural relaxation, with properties calculated at the PBE-GGA level.

It has space group C2/m (No. 12), with a = 7.665 Å, b = 12.345 Å, c = 7.622 Å, α = 90.00°, β = 117.70° and γ = 90.00°. The inequivalent atoms are V at (0.000, 0.000, 0.000), Pt at (0.000, 0.500, 0.500), I at (0.190, 0.000, 0.787) and I at (0.231, 0.350, 0.740).

As for the formation energy from raw total energies: -183 kJ/mol of formula units.

=====

Below is HoCu4Ir after structural relaxation, with properties calculated at the PBE-GGA level.

It has space group F-43m (No. 216), with a = 7.011 Å, b = 7.011 Å, c = 7.011 Å, α = 90.00°, β = 90.00° and γ = 90.00°. The inequivalent atoms are Ho at (0.000, 0.000, 0.000), Cu at (0.124, 0.124, 0.376) and Ir at (0.250, 0.250, 0.750).

The total energy comes out at -125.087 eV for the cell shown.

=====

Below is Mn3AgCl after structural relaxation, with properties calculated at the PBE-GGA level.

It has space group Pm-3m (No. 221), with a = 5.047 Å, b = 5.047 Å, c = 5.047 Å, α = 90.00°, β = 90.00° and γ = 90.00°. The inequivalent atoms are Mn at (0.000, 0.000, 0.500), Ag at (0.000, 0.000, 0.000) and Cl at (0.500, 0.500, 0.500).

The energy above the most stable polymorph in this dataset comes out at 0.252 eV per atom. As for the formation energy from raw total energies: 445 kJ/mol of formula units.

=====

Below is RbSc2Si after structural relaxation, with properties calculated at the PBE-GGA level.

It has space group R-3m (No. 166, hexagonal axes), with a = 3.9124 Å, b = 3.9124 Å, c = 31.9088 Å, α = 90.00°, β = 90.00° and γ = 120.00°. The inequivalent atoms are Rb at (0.0000, 0.0000, 0.0000), Sc at (0.0000, 0.0000, 0.1233) and Si at (0.0000, 0.0000, 0.5000).

As for the formation energy from raw total energies: 25 kJ/mol of formula units.